Density functional theory data (PBE) for an optimized crystal structure of CaNb2W.

a b c (Å): 4.780 4.780 4.780
angles (deg): 60.00 60.00 60.00
Element x y z (fractional)
Nb1 0.250 0.250 0.250
Nb2 0.750 0.750 0.750
W1 0.500 0.500 0.500
Ca1 0.000 0.000 0.000

Values from the calculation:
- excess energy over the best structure of this formula in the dataset (meV/atom) = 0.0